[1]
PBE TcTeN2, optimized geometry; formation energy without anion corrections = 0.53 eV/atom; SG = R-3m; excess energy over the best structure of this formula in the dataset = 0.00 eV/f.u.; calculated total energy = -7.0068 eV per atom
1.0
1.764 0.000 6.788
-0.882 1.527 6.788
-0.882 -1.527 6.788
N Te Tc
2 1 1
Direct
0.111 0.111 0.111 N
0.889 0.889 0.889 N
0.000 0.000 0.000 Te
0.500 0.500 0.500 Tc

[2]
PBE Dy2Sc3Cd, optimized geometry; SG = Imm2; ΔH_f (0 K) = 15.1 kJ per mole of atoms; calculated total energy = -4.6954 eV per atom
1.0
3.266 0.000 0.000
0.000 6.140 0.000
-1.633 -3.070 8.196
Sc Dy Cd
3 2 1
Direct
0.630 0.760 0.259 Sc
0.370 0.500 0.741 Sc
0.000 0.922 0.000 Sc
0.693 0.313 0.387 Dy
0.307 0.926 0.613 Dy
0.500 0.322 0.000 Cd

[3]
PBE NaIn2SnCl5, optimized geometry; formation energy without anion corrections = -1.08 eV/atom; SG = Cmc2_1; calculated total energy = -3.3051 eV per atom
1.0
-1.822 1.831 -3.390
3.025 -8.530 -3.553
-11.949 -5.644 3.375
Na In Cl Sn
2 4 10 2
Direct
0.469 0.938 0.462 Na
0.531 0.062 0.962 Na
0.895 0.790 0.181 In
0.124 0.248 0.293 In
0.876 0.752 0.793 In
0.105 0.210 0.681 In
0.729 0.459 0.145 Cl
0.610 0.220 0.521 Cl
0.916 0.833 0.563 Cl
0.390 0.780 0.021 Cl
0.327 0.655 0.378 Cl
0.673 0.345 0.878 Cl
0.517 0.035 0.276 Cl
0.483 0.965 0.776 Cl
0.271 0.541 0.645 Cl
0.084 0.167 0.063 Cl
0.218 0.435 0.005 Sn
0.782 0.565 0.505 Sn

[4]
PBE NaHBr2, optimized geometry; SG = C2/c; excess energy over the best structure of this formula in the dataset = 0.07 eV/f.u.; calculated total energy = -2.8769 eV per atom
1.0
4.499 0.001 0.001
0.001 8.021 -0.138
-2.249 -2.909 6.047
H Br Na
2 4 2
Direct
0.042 0.419 0.071 H
0.043 0.919 0.071 H
0.117 0.835 0.826 Br
0.724 0.335 0.826 Br
0.361 0.503 0.316 Br
0.968 0.003 0.316 Br
0.542 0.919 0.571 Na
0.042 0.419 0.571 Na

[5]
PBE TaHgPt2, optimized geometry; SG = R3m; ΔH_f (0 K) = -6.1 kJ per mole of atoms; calculated total energy = -6.1218 eV per atom
1.0
-6.319 1.403 -7.161
-7.037 -1.331 -6.472
-8.206 0.894 -5.005
Hg Ta Pt
1 1 2
Direct
0.252 0.252 0.252 Hg
0.495 0.495 0.495 Ta
0.002 0.002 0.002 Pt
0.751 0.751 0.751 Pt

[6]
PBE Tb8TlTe4As3, optimized geometry; formation energy without anion corrections = -1.32 eV/atom; SG = R-3m; calculated total energy = -5.4450 eV per atom
1.0
-4.564 -4.088 5.965
-0.168 -7.066 -4.971
7.503 3.555 2.048
As Tb Te Tl
3 8 4 1
Direct
0.500 0.500 0.500 As
0.000 0.500 0.500 As
0.500 0.500 0.000 As
0.740 0.719 0.479 Tb
0.246 0.727 0.981 Tb
0.264 0.273 0.019 Tb
0.754 0.273 0.019 Tb
0.754 0.273 0.508 Tb
0.260 0.281 0.521 Tb
0.736 0.727 0.981 Tb
0.246 0.727 0.492 Tb
0.000 0.000 0.500 Te
0.500 0.000 0.500 Te
0.000 0.000 0.000 Te
0.500 0.000 0.000 Te
0.000 0.500 0.000 Tl

[7]
PBE MgNi2HPt, optimized geometry; SG = P4/mmm; excess energy over the best structure of this formula in the dataset = 0.05 eV/f.u.; calculated total energy = -4.7888 eV per atom
1.0
-0.984 -3.360 1.155
2.310 -1.516 -2.441
2.965 0.080 2.756
Ni Pt H Mg
2 1 1 1
Direct
0.000 0.500 0.000 Ni
0.500 0.000 0.000 Ni
0.500 0.500 0.500 Pt
0.000 0.000 0.000 H
0.000 0.000 0.500 Mg

[8]
PBE LiDyNiHg, optimized geometry; SG = F-43m; ΔH_f (0 K) = -23.2 kJ per mole of atoms; calculated total energy = -3.3900 eV per atom
1.0
-2.526 1.360 -3.689
0.133 -2.474 -3.963
-3.727 -2.490 -1.327
Ni Hg Li Dy
1 1 1 1
Direct
0.250 0.250 0.250 Ni
0.500 0.500 0.500 Hg
0.750 0.750 0.750 Li
0.000 0.000 0.000 Dy

calculated total energy of number 8 (LiDyNiHg)? -3.3900 eV per atom